VASP calculation (PBE-GGA) on a relaxed structure of CaTh2Os.

It has space group R3m (No. 160, hexagonal axes), with a = 4.1767 Å, b = 4.1767 Å, c = 27.6280 Å, α = 90.00°, β = 90.00° and γ = 120.00°. The distinct sites, in fractional coordinates, are Ca at (0.0000, 0.0000, 0.0000), Th at (0.0000, 0.0000, 0.5515), Th at (0.0000, 0.0000, 0.7779) and Os at (0.0000, 0.0000, 0.1642).

As for the formation energy: -0.5 eV per formula unit. The magnetization is 0.00 μB/f.u. Its polymorph energy (0 for the lowest one) is 0 meV/atom.

---

VASP calculation (PBE-GGA) on a relaxed structure of DyY2AlS6.

It has space group R3 (No. 146, hexagonal axes), with a = 6.7294 Å, b = 6.7294 Å, c = 17.8167 Å, α = 90.00°, β = 90.00° and γ = 120.00°. The distinct sites, in fractional coordinates, are Dy at (0.0000, 0.0000, 0.0000), Y at (0.0000, 0.0000, 0.2933), Y at (0.0000, 0.0000, 0.7961), Al at (0.0000, 0.0000, 0.4955), S at (0.0018, 0.3748, 0.2321) and S at (0.0563, 0.6840, 0.0730).

The formation energy (no corrections) is -1.751 eV/atom. The magnetization is 0.00 μB/f.u.

---

VASP calculation (PBE-GGA) on a relaxed structure of RbFeRu2W.

It has space group P4/mmm (No. 123), with a = 4.613 Å, b = 4.613 Å, c = 4.261 Å, α = 90.00°, β = 90.00° and γ = 90.00°. The distinct sites, in fractional coordinates, are Rb at (0.000, 0.000, 0.000), Fe at (0.000, 0.000, 0.500), Ru at (0.000, 0.500, 0.000) and W at (0.500, 0.500, 0.500).

As for the formation energy: 16.7 eV per formula unit. The magnetization is 0.00 μB/f.u.

---

VASP calculation (PBE-GGA) on a relaxed structure of MgTa2Cl.

It has space group P4/mmm (No. 123), with a = 2.906 Å, b = 2.906 Å, c = 8.419 Å, α = 90.00°, β = 90.00° and γ = 90.00°. The distinct sites, in fractional coordinates, are Mg at (0.000, 0.000, 0.000), Ta at (0.500, 0.500, 0.274) and Cl at (0.000, 0.000, 0.500).

The formation energy (no corrections) is 0.483 eV/atom. The magnetization is 0.00 μB/f.u. Its polymorph energy (0 for the lowest one) is 544 meV/atom.

---

VASP calculation (PBE-GGA) on a relaxed structure of ReSb5.

It has space group Cm (No. 8), with a = 13.770 Å, b = 3.299 Å, c = 8.199 Å, α = 90.00°, β = 110.02° and γ = 90.00°. The distinct sites, in fractional coordinates, are Re at (0.000, 0.000, 0.000), Sb at (0.002, 0.000, 0.648), Sb at (0.133, 0.500, 0.332), Sb at (0.157, 0.500, 0.988), Sb at (0.352, 0.000, 0.778) and Sb at (0.410, 0.000, 0.187).

The formation energy (no corrections) is 0.216 eV/atom. The magnetization is 0.00 μB/f.u. Its polymorph energy (0 for the lowest one) is 0 meV/atom.

---

VASP calculation (PBE-GGA) on a relaxed structure of MgNi3P2.

It has space group C2/m (No. 12), with a = 14.889 Å, b = 3.569 Å, c = 9.066 Å, α = 90.00°, β = 107.12° and γ = 90.00°. The distinct sites, in fractional coordinates, are Mg at (0.000, 0.000, 0.000), Mg at (0.153, 0.000, 0.697), Ni at (0.000, 0.500, 0.500), Ni at (0.043, 0.000, 0.325), Ni at (0.118, 0.500, 0.195), Ni at (0.181, 0.500, 0.965), Ni at (0.222, 0.000, 0.388), P at (0.041, 0.500, 0.784), P at (0.137, 0.500, 0.453) and P at (0.199, 0.000, 0.134).

As for the formation energy: -3.4 eV per formula unit. The magnetization is 0.00 μB/f.u.